Entry 1:
ThIn6Hg | PBE | relaxed

## Properties
Space-group type: Cmmm (65)
Formation enthalpy at 0 K in meV per atom: -101

Cell and atoms, written as extended XYZ:
```
8
Lattice="4.348 0.000 0.000 0.000 6.965 -0.040 0.000 0.048 6.965" Properties=species:S:1:pos:R:3 pbc="T T T"
In 2.174 3.483 -0.020
Th 2.174 3.507 3.463
In 0.000 5.323 1.623
In 2.174 0.024 3.483
In 0.000 1.691 5.302
In 0.000 1.668 1.647
Hg 2.174 0.000 0.000
In 0.000 5.345 5.278
```

Entry 2:
LaMg2AlH | PBE | relaxed

## Properties
Space-group type: P4/mmm (123)
VASP energy in eV per atom: -3.27

Cell and atoms, written as extended XYZ:
```
5
Lattice="-2.031 -3.489 -2.260 0.897 -2.824 3.553 -4.142 1.144 1.955" Properties=species:S:1:pos:R:3 pbc="T T T"
H 0.000 0.000 0.000
Al -2.638 -2.584 1.624
La -2.071 0.572 0.978
Mg -1.015 -1.745 -1.130
Mg 0.449 -1.412 1.777
```

Entry 3:
BaSmS2 | PBE | relaxed

## Properties
Relative energy among the computed polymorphs in meV per atom: 0
Space-group type: C2/m (12)
E_form (uncorrected) in eV per atom: -2.020

Cell and atoms, written as extended XYZ:
```
4
Lattice="4.188 0.014 0.014 2.084 3.633 0.014 2.056 1.196 7.176" Properties=species:S:1:pos:R:3 pbc="T T T"
S 2.083 1.211 1.559
Sm 0.000 0.000 0.000
Ba 4.164 2.421 3.602
S 6.245 3.632 5.645
```

Entry 4:
KBaSe2S | PBE | relaxed

## Properties
Space-group type: P4/mmm (123)
E_form (uncorrected) in eV per atom: -0.272

Cell and atoms, written as extended XYZ:
```
5
Lattice="5.720 0.000 0.000 0.000 5.532 0.000 0.000 0.000 5.720" Properties=species:S:1:pos:R:3 pbc="T T T"
Ba 2.860 2.766 2.860
K 0.000 0.000 0.000
Se 2.860 0.000 0.000
S 0.000 2.766 0.000
Se 0.000 0.000 2.860
```

Entry 5:
CaAgCl5 | PBE | relaxed

## Properties
Space-group type: C2/c (15)
E_form (uncorrected) in eV per atom: -1.085

Cell and atoms, written as extended XYZ:
```
14
Lattice="-4.620 -3.231 3.681 4.901 -3.281 3.247 0.515 1.589 11.120" Properties=species:S:1:pos:R:3 pbc="T T T"
Cl 2.813 -3.094 9.114
Cl 0.024 -0.735 11.635
Ca 2.468 -2.074 11.716
Cl -2.016 -1.827 8.934
Cl 0.770 -1.535 6.030
Ag 0.000 0.000 0.000
Cl -1.747 -2.275 14.894
Ag 0.258 0.795 5.560
Ca -1.671 -2.848 6.333
Cl 0.773 -4.187 6.413
Cl -4.372 -2.834 6.456
Cl 2.543 -2.647 3.155
Cl 5.169 -2.088 11.593
Cl 0.027 -3.387 12.019
```

Entry 6:
Re2HgIrPt | PBE | relaxed

## Properties
Space-group type: P4/mmm (123)
Formation enthalpy at 0 K in meV per atom: 3176

Cell and atoms, written as extended XYZ:
```
5
Lattice="4.870 0.000 0.000 0.000 4.828 0.000 0.000 0.000 4.870" Properties=species:S:1:pos:R:3 pbc="T T T"
Ir 0.000 2.414 0.000
Re 2.435 0.000 0.000
Pt 2.435 2.414 2.435
Re 0.000 0.000 2.435
Hg 0.000 0.000 0.000
```

Entry 7:
BeCdAu2 | PBE | relaxed

## Properties
Relative energy among the computed polymorphs in meV per atom: 203
Space-group type: Fm-3m (225)
Formation enthalpy at 0 K in meV per atom: 47

Cell and atoms, written as extended XYZ:
```
4
Lattice="0.000 3.219 3.219 3.219 0.000 3.219 3.219 3.219 0.000" Properties=species:S:1:pos:R:3 pbc="T T T"
Cd 3.219 3.219 3.219
Au 1.610 1.610 1.610
Be 0.000 0.000 0.000
Au 4.829 4.829 4.829
```

Entry 8:
In2SCl | PBE | relaxed

## Properties
Relative energy among the computed polymorphs in meV per atom: 110
Space-group type: Fm-3m (225)
E_form (uncorrected) in eV per atom: -0.365

Cell and atoms, written as extended XYZ:
```
4
Lattice="0.000 3.628 3.628 3.628 0.000 3.628 3.628 3.628 0.000" Properties=species:S:1:pos:R:3 pbc="T T T"
S 0.000 0.000 0.000
Cl 3.628 3.628 3.628
In 5.443 5.443 5.443
In 1.814 1.814 1.814
```

Entry 9:
LiMgInPb | PBE | relaxed

## Properties
Space-group type: F-43m (216)
Formation enthalpy at 0 K in meV per atom: -174

Cell and atoms, written as extended XYZ:
```
4
Lattice="-1.080 -1.943 4.586 3.710 -0.639 3.435 0.184 2.973 4.135" Properties=species:S:1:pos:R:3 pbc="T T T"
Pb 2.111 0.294 9.117
Li 0.000 0.000 0.000
In 0.704 0.098 3.039
Mg 1.407 0.196 6.078
```

Entry 10:
LiAuSe2 | PBE | relaxed

## Properties
Space-group type: P4/mmm (123)
E_form (uncorrected) in eV per atom: -0.355

Cell and atoms, written as extended XYZ:
```
4
Lattice="3.815 0.000 0.000 0.000 3.815 0.000 0.000 0.000 5.417" Properties=species:S:1:pos:R:3 pbc="T T T"
Au 0.000 0.000 2.029
Se 1.907 1.907 2.033
Li 1.907 1.907 4.742
Se 0.000 0.000 4.738
```

Entry 11:
TaTc2Sb | PBE | relaxed

## Properties
Space-group type: Cmmm (65)
E_form (uncorrected) in eV per atom: 0.261

Cell and atoms, written as extended XYZ:
```
4
Lattice="2.992 -0.013 0.000 -1.172 2.753 0.000 0.000 0.000 8.554" Properties=species:S:1:pos:R:3 pbc="T T T"
Tc 0.000 0.000 8.473
Sb 0.910 1.370 2.139
Tc 0.000 0.000 4.358
Ta 0.910 1.370 6.416
```